VASP calculation (GGA-PBE) on a relaxed Mg2ZrSc2 crystal.

Values from the calculation:
final energy: -47.165 eV/cell
DOS at the Fermi energy: 1.00 states/eV/atom
distance to the lowest polymorph of the same formula: 0.224 eV/atom

Cell: 8.3724 8.3724 3.2924 Å, 90.00 90.00 90.00°
Positions (direct):
Mg 0.1663 0.3337 0.0000
Mg 0.3337 0.8337 0.0000
Mg 0.6663 0.1663 0.0000
Mg 0.8337 0.6663 0.0000
Zr 0.0000 0.0000 0.5000
Zr 0.5000 0.5000 0.5000
Sc 0.1333 0.6333 0.5000
Sc 0.3667 0.1333 0.5000
Sc 0.6333 0.8667 0.5000
Sc 0.8667 0.3667 0.5000

=====

VASP calculation (GGA-PBE) on a relaxed Fe2PbAu crystal.

Values from the calculation:
final energy: -22.790 eV/cell
DOS at the Fermi energy: 0.72 states/eV/atom

Cell: 3.1616 3.1616 7.0985 Å, 90.00 90.00 90.00°
Positions (direct):
Fe 0.0000 0.0000 0.0000
Fe 0.5000 0.5000 0.1541
Pb 0.0000 0.0000 0.4365
Au 0.5000 0.5000 0.7702

=====

VASP calculation (GGA-PBE) on a relaxed Nd6Tm4Pu crystal.

Values from the calculation:
final energy: -117.541 eV/cell
DOS at the Fermi energy: 1.76 states/eV/atom

Cell: 11.7524 11.7524 17.7428 Å, 90.00 90.00 162.59°
Positions (direct):
Nd 0.0000 0.0000 0.0000
Nd 0.0000 0.0000 0.5000
Nd 0.2449 0.7551 0.7500
Nd 0.2575 0.7425 0.0833
Nd 0.2575 0.7425 0.4167
Nd 0.4842 0.5158 0.6620
Nd 0.4842 0.5158 0.8380
Nd 0.5158 0.4842 0.1620
Nd 0.5158 0.4842 0.3380
Nd 0.7425 0.2575 0.5833
Nd 0.7425 0.2575 0.9167
Nd 0.7551 0.2449 0.2500
Tm 0.1157 0.8843 0.6395
Tm 0.1157 0.8843 0.8605
Tm 0.3711 0.6289 0.5407
Tm 0.3711 0.6289 0.9593
Tm 0.6289 0.3711 0.0407
Tm 0.6289 0.3711 0.4593
Tm 0.8843 0.1157 0.1395
Tm 0.8843 0.1157 0.3605
Pu 0.1313 0.8687 0.2500
Pu 0.8687 0.1313 0.7500

=====

VASP calculation (GGA-PBE) on a relaxed AlH2Se crystal.

Values from the calculation:
final energy: -11.606 eV/cell
DOS at the Fermi energy: 0.53 states/eV/atom
distance to the lowest polymorph of the same formula: 0.654 eV/atom

Cell: 3.9090 3.9090 3.9090 Å, 60.00 60.00 60.00°
Positions (direct):
Al 0.0000 0.0000 0.0000
H 0.2500 0.2500 0.2500
H 0.7500 0.7500 0.7500
Se 0.5000 0.5000 0.5000

=====

VASP calculation (GGA-PBE) on a relaxed Tb2Pm4Sm2Ho crystal.

Values from the calculation:
final energy: -42.129 eV/cell
DOS at the Fermi energy: 1.51 states/eV/atom

Cell: 8.0832 8.0832 8.0607 Å, 107.56 107.56 36.86°
Positions (direct):
Tb 0.1665 0.1665 0.0000
Tb 0.8335 0.8335 0.0000
Pm 0.0551 0.0551 0.3315
Pm 0.2780 0.2780 0.6684
Pm 0.7220 0.7220 0.3316
Pm 0.9449 0.9449 0.6685
Sm 0.3886 0.3886 0.3311
Sm 0.6114 0.6114 0.6689
Ho 0.5000 0.5000 0.0000

=====

VASP calculation (GGA-PBE) on a relaxed Hf3Zn3Ga crystal.

Values from the calculation:
final energy: -149.785 eV/cell
DOS at the Fermi energy: 0.94 states/eV/atom

Cell: 9.1349 9.1349 9.1349 Å, 60.00 60.00 60.00°
Positions (direct):
Hf 0.1016 0.1016 0.6484
Hf 0.1016 0.6484 0.1016
Hf 0.1016 0.6484 0.6484
Hf 0.3516 0.3516 0.8984
Hf 0.3516 0.8984 0.3516
Hf 0.3516 0.8984 0.8984
Hf 0.6484 0.1016 0.1016
Hf 0.6484 0.1016 0.6484
Hf 0.6484 0.6484 0.1016
Hf 0.8984 0.3516 0.3516
Hf 0.8984 0.3516 0.8984
Hf 0.8984 0.8984 0.3516
Zn 0.0000 0.5000 0.5000
Zn 0.2843 0.2843 0.2843
Zn 0.2843 0.2843 0.6471
Zn 0.2843 0.6471 0.2843
Zn 0.3529 0.7157 0.7157
Zn 0.5000 0.0000 0.5000
Zn 0.5000 0.5000 0.0000
Zn 0.5000 0.5000 0.5000
Zn 0.6471 0.2843 0.2843
Zn 0.7157 0.3529 0.7157
Zn 0.7157 0.7157 0.3529
Zn 0.7157 0.7157 0.7157
Ga 0.0000 0.0000 0.0000
Ga 0.0000 0.0000 0.5000
Ga 0.0000 0.5000 0.0000
Ga 0.5000 0.0000 0.0000

=====

VASP calculation (GGA-PBE) on a relaxed Na2InGa4Au3 crystal.

Values from the calculation:
final energy: -29.818 eV/cell
DOS at the Fermi energy: 0.29 states/eV/atom

Cell: 4.4249 4.4249 11.1860 Å, 90.00 90.00 90.00°
Positions (direct):
Na 0.0000 0.5000 0.2430
Na 0.5000 0.0000 0.7570
In 0.0000 0.0000 0.5000
Ga 0.0000 0.0000 0.0000
Ga 0.0000 0.5000 0.6458
Ga 0.5000 0.0000 0.3542
Ga 0.5000 0.5000 0.0000
Au 0.0000 0.5000 0.8705
Au 0.5000 0.0000 0.1295
Au 0.5000 0.5000 0.5000

=====

VASP calculation (GGA-PBE) on a relaxed Cs2LaTc2N6 crystal.

Values from the calculation:
final energy: -79.685 eV/cell
ΔE_f (raw): -0.22 eV per atom
DOS at the Fermi energy: 0.38 states/eV/atom

Cell: 7.5516 7.5516 7.5516 Å, 51.83 51.83 51.83°
Positions (direct):
Cs 0.2239 0.2239 0.2239
Cs 0.7761 0.7761 0.7761
La 0.0000 0.0000 0.0000
Tc 0.4301 0.4301 0.4301
Tc 0.5699 0.5699 0.5699
N 0.2567 0.2567 0.7091
N 0.2567 0.7091 0.2567
N 0.2909 0.7433 0.7433
N 0.7091 0.2567 0.2567
N 0.7433 0.2909 0.7433
N 0.7433 0.7433 0.2909

=====

VASP calculation (GGA-PBE) on a relaxed ReNi2H2 crystal.

Values from the calculation:
final energy: -57.914 eV/cell
DOS at the Fermi energy: 1.07 states/eV/atom
distance to the lowest polymorph of the same formula: 0.000 eV/atom

Cell: 5.9063 5.9063 2.6296 Å, 90.00 90.00 90.00°
Positions (direct):
Re 0.0000 0.0000 0.0000
Re 0.5000 0.5000 0.0000
Ni 0.1545 0.3455 0.5000
Ni 0.3455 0.8455 0.5000
Ni 0.6545 0.1545 0.5000
Ni 0.8455 0.6545 0.5000
H 0.2225 0.7225 0.0000
H 0.2775 0.2225 0.0000
H 0.7225 0.7775 0.0000
H 0.7775 0.2775 0.0000

=====

VASP calculation (GGA-PBE) on a relaxed CsKRb2H crystal.

Values from the calculation:
final energy: -7.130 eV/cell
DOS at the Fermi energy: 0.89 states/eV/atom
distance to the lowest polymorph of the same formula: 0.000 eV/atom

Cell: 6.6521 6.6521 6.7641 Å, 90.00 90.00 90.00°
Positions (direct):
Cs 0.0000 0.0000 0.0000
K 0.5000 0.5000 0.0000
Rb 0.0000 0.5000 0.5000
Rb 0.5000 0.0000 0.5000
H 0.0000 0.0000 0.5000

=====

VASP calculation (GGA-PBE) on a relaxed DySnPdRh crystal.

Values from the calculation:
final energy: -24.391 eV/cell
DOS at the Fermi energy: 0.73 states/eV/atom

Cell: 4.7496 4.7496 4.7496 Å, 60.00 60.00 60.00°
Positions (direct):
Dy 0.0000 0.0000 0.0000
Sn 0.5000 0.5000 0.5000
Pd 0.2500 0.2500 0.2500
Rh 0.7500 0.7500 0.7500

=====

VASP calculation (GGA-PBE) on a relaxed KGaSi2 crystal.

Values from the calculation:
final energy: -28.055 eV/cell
ΔE_f (raw): 0.24 eV per atom
DOS at the Fermi energy: 0.33 states/eV/atom

Cell: 9.3021 9.3021 9.3021 Å, 148.58 148.58 45.03°
Positions (direct):
K 0.3750 0.6250 0.7500
K 0.6250 0.3750 0.2500
Ga 0.1250 0.8750 0.2500
Ga 0.8750 0.1250 0.7500
Si 0.0000 0.0000 0.0000
Si 0.0000 0.0000 0.5000
Si 0.0000 0.5000 0.0000
Si 0.5000 0.0000 0.5000

=====

VASP calculation (GGA-PBE) on a relaxed KY2Hg crystal.

Values from the calculation:
final energy: -14.217 eV/cell
DOS at the Fermi energy: 1.45 states/eV/atom

Cell: 3.7383 3.7383 10.4524 Å, 90.00 90.00 90.00°
Positions (direct):
K 0.0000 0.0000 0.0000
Y 0.5000 0.5000 0.3321
Y 0.5000 0.5000 0.6679
Hg 0.0000 0.0000 0.5000

=====

VASP calculation (GGA-PBE) on a relaxed La2ScCo3H12 crystal.

Values from the calculation:
final energy: -83.761 eV/cell
DOS at the Fermi energy: 0.44 states/eV/atom

Cell: 5.8178 5.8178 5.8178 Å, 64.78 64.78 64.78°
Positions (direct):
La 0.1126 0.1126 0.1126
La 0.8874 0.8874 0.8874
Sc 0.5000 0.5000 0.5000
Co 0.0000 0.5000 0.5000
Co 0.5000 0.0000 0.5000
Co 0.5000 0.5000 0.0000
H 0.1014 0.6213 0.6213
H 0.2114 0.2114 0.6056
H 0.2114 0.6056 0.2114
H 0.3787 0.3787 0.8986
H 0.3787 0.8986 0.3787
H 0.3944 0.7886 0.7886
H 0.6056 0.2114 0.2114
H 0.6213 0.1014 0.6213
H 0.6213 0.6213 0.1014
H 0.7886 0.3944 0.7886
H 0.7886 0.7886 0.3944
H 0.8986 0.3787 0.3787

=====

VASP calculation (GGA-PBE) on a relaxed Cu2Ge4Cl crystal.

Values from the calculation:
final energy: -24.363 eV/cell
ΔE_f (raw): 0.59 eV per atom
DOS at the Fermi energy: 0.51 states/eV/atom

Cell: 7.5060 7.5060 7.5060 Å, 142.27 142.27 54.43°
Positions (direct):
Cu 0.0895 0.0895 0.0000
Cu 0.9105 0.9105 0.0000
Ge 0.0000 0.5000 0.5000
Ge 0.2639 0.2639 0.0000
Ge 0.5000 0.0000 0.5000
Ge 0.7361 0.7361 0.0000
Cl 0.5000 0.5000 0.0000

=====

VASP calculation (GGA-PBE) on a relaxed YSiSb2I crystal.

Values from the calculation:
final energy: -20.932 eV/cell
ΔE_f (raw): 0.15 eV per atom
DOS at the Fermi energy: 0.45 states/eV/atom
distance to the lowest polymorph of the same formula: 0.000 eV/atom

Cell: 5.2417 5.2417 5.4591 Å, 90.00 90.00 90.00°
Positions (direct):
Y 0.0000 0.0000 0.0000
Si 0.5000 0.5000 0.5000
Sb 0.0000 0.5000 0.5000
Sb 0.5000 0.0000 0.5000
I 0.5000 0.5000 0.0000

=====

VASP calculation (GGA-PBE) on a relaxed Sr3Er3AgSe8 crystal.

Values from the calculation:
final energy: -74.732 eV/cell
ΔE_f (raw): -1.68 eV per atom
DOS at the Fermi energy: 0.03 states/eV/atom

Cell: 8.5209 8.5209 8.5209 Å, 58.71 58.71 58.71°
Positions (direct):
Sr 0.0000 0.5000 0.5000
Sr 0.5000 0.0000 0.5000
Sr 0.5000 0.5000 0.0000
Er 0.0000 0.0000 0.5000
Er 0.0000 0.5000 0.0000
Er 0.5000 0.0000 0.0000
Ag 0.5000 0.5000 0.5000
Se 0.2290 0.7491 0.7491
Se 0.2426 0.2426 0.2426
Se 0.2509 0.2509 0.7710
Se 0.2509 0.7710 0.2509
Se 0.7491 0.2290 0.7491
Se 0.7491 0.7491 0.2290
Se 0.7574 0.7574 0.7574
Se 0.7710 0.2509 0.2509

=====

VASP calculation (GGA-PBE) on a relaxed La16Pr7Tm6 crystal.

Values from the calculation:
final energy: -133.005 eV/cell
DOS at the Fermi energy: 1.31 states/eV/atom

Cell: 11.5465 11.5465 11.5465 Å, 60.00 60.00 60.00°
Positions (direct):
La 0.0474 0.6509 0.6509
La 0.1249 0.1249 0.1249
La 0.1249 0.1249 0.6253
La 0.1249 0.6253 0.1249
La 0.3491 0.3491 0.3491
La 0.3491 0.3491 0.9526
La 0.3491 0.9526 0.3491
La 0.3747 0.8751 0.8751
La 0.6253 0.1249 0.1249
La 0.6509 0.0474 0.6509
La 0.6509 0.6509 0.0474
La 0.6509 0.6509 0.6509
La 0.8751 0.3747 0.8751
La 0.8751 0.8751 0.3747
La 0.8751 0.8751 0.8751
La 0.9526 0.3491 0.3491
Pr 0.0000 0.0000 0.0000
Pr 0.0000 0.0000 0.5000
Pr 0.0000 0.5000 0.0000
Pr 0.0000 0.5000 0.5000
Pr 0.5000 0.0000 0.0000
Pr 0.5000 0.0000 0.5000
Pr 0.5000 0.5000 0.0000
Tm 0.2605 0.2605 0.7395
Tm 0.2605 0.7395 0.2605
Tm 0.2605 0.7395 0.7395
Tm 0.7395 0.2605 0.2605
Tm 0.7395 0.2605 0.7395
Tm 0.7395 0.7395 0.2605

=====

VASP calculation (GGA-PBE) on a relaxed BaCd4Ag2Au crystal.

Values from the calculation:
final energy: -15.922 eV/cell
DOS at the Fermi energy: 0.53 states/eV/atom

Cell: 10.5332 10.5332 10.5332 Å, 26.25 26.25 26.25°
Positions (direct):
Ba 0.0000 0.0000 0.0000
Cd 0.1333 0.1333 0.1333
Cd 0.4058 0.4058 0.4058
Cd 0.5942 0.5942 0.5942
Cd 0.8667 0.8667 0.8667
Ag 0.2390 0.2390 0.2390
Ag 0.7610 0.7610 0.7610
Au 0.5000 0.5000 0.5000

=====

VASP calculation (GGA-PBE) on a relaxed AgS crystal.

Values from the calculation:
final energy: -39.208 eV/cell
ΔE_f (raw): 0.22 eV per atom
DOS at the Fermi energy: 1.19 states/eV/atom

Cell: 7.0022 7.0022 7.0022 Å, 90.00 90.00 90.00°
Positions (direct):
Ag 0.0000 0.2500 0.5000
Ag 0.0000 0.7500 0.5000
Ag 0.2500 0.5000 0.0000
Ag 0.5000 0.0000 0.2500
Ag 0.5000 0.0000 0.7500
Ag 0.7500 0.5000 0.0000
S 0.0000 0.5000 0.2500
S 0.0000 0.5000 0.7500
S 0.2500 0.0000 0.5000
S 0.5000 0.2500 0.0000
S 0.5000 0.7500 0.0000
S 0.7500 0.0000 0.5000

=====

So what do the calculations give for density? Going down the list: 3.306 12.072 8.084 4.244 7.559 9.876 7.814 4.623 11.064 1.908 10.751 2.513 4.746 5.524 4.783 5.396 5.884 6.441 8.239 4.061 g/cm3.